1.
DFT (GGA-PBE) results for NdTh3Hg4 after structural relaxation.

Unit cell a=3.821 b=3.821 c=15.383 alpha=90.00 beta=90.00 gamma=90.00
Space group P4/mmm (No. 123)
One atom of each set of equivalent atoms:
Nd  0.000  0.000  0.000 x1
Th  0.000  0.000  0.251 x2
Th  0.000  0.000  0.500 x1
Hg  0.500  0.500  0.123 x2
Hg  0.500  0.500  0.375 x2

=====

2.
DFT (GGA-PBE) results for HfTlIn2 after structural relaxation.

Unit cell a=8.204 b=8.204 c=6.128 alpha=90.00 beta=90.00 gamma=90.00
Space group I-42d (No. 122)
One atom of each set of equivalent atoms:
Hf  0.000  0.000  0.000 x4
Tl  0.000  0.000  0.500 x4
In  0.250  0.250  0.125 x8

Computed properties:
Its distance to the lowest polymorph of the same formula is 241 meV/atom.

=====

3.
DFT (GGA-PBE) results for CdAs3 after structural relaxation.

Unit cell a=5.483 b=5.483 c=5.483 alpha=90.00 beta=90.00 gamma=90.00
Space group Pm-3n (No. 223)
One atom of each set of equivalent atoms:
Cd  0.000  0.000  0.000 x2
As  0.000  0.250  0.500 x6

Computed properties:
Its distance to the lowest polymorph of the same formula is 490 meV/atom.

=====

no.,formation enthalpy at 0 K (eV per atom),spin magnetization (μB/cell)
1,-0.263,0.18
2,0.319,0.00
3,0.463,0.00